# 1
A geometry-optimized TiCr2Mo structure. Source: the Alexandria database, functional PBEsol.

## Properties
Formation energy from the elements, eV/atom: -0.013
DOS at the Fermi energy, states/eV per cell: 4.09

Lattice parameters (Å, degrees): 4.207 4.207 4.207 60.00 60.00 60.00
Element x y z (fractional)
Ti: 0.000 0.000 0.000
Cr: 0.250 0.250 0.250
Cr: 0.750 0.750 0.750
Mo: 0.500 0.500 0.500

# 2
A geometry-optimized TiFeB3 structure. Source: the Alexandria database, functional PBEsol.

## Properties
Formation energy from the elements, eV/atom: 0.284
DOS at the Fermi energy, states/eV per cell: 3.40

Lattice parameters (Å, degrees): 3.653 3.653 3.653 90.00 90.00 90.00
Element x y z (fractional)
Ti: 0.000 0.000 0.000
Fe: 0.500 0.500 0.500
B: 0.000 0.500 0.500
B: 0.500 0.000 0.500
B: 0.500 0.500 0.000

# 3
A geometry-optimized TlInC3 structure. Source: the Alexandria database, functional PBEsol.

## Properties
Formation energy from the elements, eV/atom: 3.295
DOS at the Fermi energy, states/eV per cell: 4.12

Lattice parameters (Å, degrees): 4.388 4.388 4.388 90.00 90.00 90.00
Element x y z (fractional)
Tl: 0.000 0.000 0.000
In: 0.500 0.500 0.500
C: 0.000 0.000 0.500
C: 0.000 0.500 0.000
C: 0.500 0.000 0.000

# 4
A geometry-optimized KBeW2 structure. Source: the Alexandria database, functional PBEsol.

## Properties
Formation energy from the elements, eV/atom: 1.043
DOS at the Fermi energy, states/eV per cell: 2.42

Lattice parameters (Å, degrees): 6.131 6.131 6.131 155.70 133.24 53.38
Element x y z (fractional)
K: 0.000 0.000 0.000
Be: 0.500 0.500 0.000
W: 0.295 0.795 0.500
W: 0.705 0.205 0.500

# 5
A geometry-optimized YGeI2O structure. Source: the Alexandria database, functional PBEsol.

## Properties
Formation energy without anion corrections, eV per atom: -0.94
DOS at the Fermi energy, states/eV per cell: 2.78

Lattice parameters (Å, degrees): 6.036 6.036 4.097 90.00 90.00 90.00
Element x y z (fractional)
Y: 0.000 0.000 0.000
Ge: 0.500 0.500 0.500
I: 0.000 0.500 0.000
I: 0.500 0.000 0.000
O: 0.000 0.000 0.500

# 6
A geometry-optimized Sc3CdC structure. Source: the Alexandria database, functional PBEsol.

## Properties
Formation energy from the elements, eV/atom: -0.498
DOS at the Fermi energy, states/eV per cell: 7.24

Lattice parameters (Å, degrees): 4.515 4.515 4.515 90.00 90.00 90.00
Element x y z (fractional)
Sc: 0.000 0.000 0.500
Sc: 0.000 0.500 0.000
Sc: 0.500 0.000 0.000
Cd: 0.500 0.500 0.500
C: 0.000 0.000 0.000

# 7
A geometry-optimized Mg2ReRh structure. Source: the Alexandria database, functional PBEsol.

## Properties
Energy relative to the lowest polymorph listed for this composition, eV per atom: 0.016
Formation energy from the elements, eV/atom: 0.112
DOS at the Fermi energy, states/eV per cell: 2.89

Lattice parameters (Å, degrees): 2.721 2.721 8.252 90.00 90.00 90.00
Element x y z (fractional)
Mg: 0.000 0.000 0.233
Mg: 0.000 0.000 0.767
Re: 0.500 0.500 0.500
Rh: 0.500 0.500 0.000

# 8
A geometry-optimized Li4OsPt structure. Source: the Alexandria database, functional PBEsol.

## Properties
Formation energy from the elements, eV/atom: 0.229
DOS at the Fermi energy, states/eV per cell: 4.63

Lattice parameters (Å, degrees): 4.644 4.644 4.644 60.00 60.00 60.00
Element x y z (fractional)
Li: 0.125 0.125 0.125
Li: 0.125 0.125 0.624
Li: 0.125 0.624 0.125
Li: 0.624 0.125 0.125
Os: 0.500 0.500 0.500
Pt: 0.750 0.750 0.750

> Look up the DOS at the Fermi energy of the second one.

3.40 states/eV per cell

> Which of these has the lowest DOS at the Fermi energy?

KBeW2

> What is the DOS at the Fermi energy in the first record?

4.09 states/eV per cell

> Which value of DOS at the Fermi energy does entry 7 give?

2.89 states/eV per cell